SrMn2CdF8 (PBE with a Hubbard U, optimized geometry); calculated volume = 15.78 Å³ per atom; size of the total moment = 0.833 μB per atom; total DFT energy (no corrections) = -5.5539 eV per atom
1.0
-3.8136 -3.4066 -0.7981
2.5810 -3.6268 2.7020
-3.1554 2.1501 5.9002
Sr Mn Cd F
1 2 1 8
Direct
0.0000 0.0000 0.5000
0.5000 0.5000 0.7563
0.5000 0.5000 0.2437
0.0000 0.0000 0.0000
0.2092 0.7877 0.2360
0.6872 0.6887 0.0000
0.7908 0.2123 0.2360
0.7908 0.2123 0.7640
0.3128 0.3113 0.0000
0.2092 0.7877 0.7640
0.6730 0.6764 0.5000
0.3270 0.3236 0.5000